Computed, not measured: an optimized crystal structure of AuSeCl2 at the PBE level of DFT.

a = 6.026 Å, b = 6.026 Å, c = 6.026 Å
α = 145.41°, β = 101.97°, γ = 88.25°
Atoms (fractional coordinates):
Au: 0.000 0.000 0.000
Se: 0.802 0.302 0.500
Cl: 0.195 0.695 0.500
Cl: 0.564 0.564 0.000

Energy relative to the lowest polymorph listed for this composition   0.132 eV/atom
Formation energy without anion corrections   -0.016 eV/atom
N(E_F)   0.95 states/eV per atom

Computed, not measured: an optimized crystal structure of AuSe2Cl at the PBE level of DFT.

a = 5.693 Å, b = 5.693 Å, c = 5.693 Å
α = 142.14°, β = 96.77°, γ = 95.31°
Atoms (fractional coordinates):
Au: 0.000 0.000 0.000
Se: 0.242 0.742 0.500
Se: 0.470 0.470 0.000
Cl: 0.777 0.277 0.500

Formation energy without anion corrections   0.185 eV/atom
N(E_F)   0.67 states/eV per atom

Computed, not measured: an optimized crystal structure of Au3SeCl at the PBE level of DFT.

a = 4.949 Å, b = 4.949 Å, c = 4.949 Å
α = 90.00°, β = 90.00°, γ = 90.00°
Atoms (fractional coordinates):
Au: 0.000 0.000 0.500
Au: 0.000 0.500 0.000
Au: 0.500 0.000 0.000
Se: 0.500 0.500 0.500
Cl: 0.000 0.000 0.000

Energy relative to the lowest polymorph listed for this composition   0.564 eV/atom
Formation energy without anion corrections   0.874 eV/atom
N(E_F)   0.84 states/eV per atom